[1]
This record from Alexandria describes an optimized crystal structure of LaCuPd. The functional is PBE.

Summary:
ΔH_f (0 K) = -0.29 eV per atom
Relative energy among the computed polymorphs = 0.275 eV per atom

Unit cell a=8.662 b=8.662 c=7.339 alpha=90.94 beta=90.94 gamma=29.85
Fractional coordinates of all 12 atoms:
La1 0.063 0.063 0.290
La2 0.391 0.391 0.140
La3 0.609 0.609 0.860
La4 0.937 0.937 0.710
Cu1 0.246 0.246 0.912
Cu2 0.318 0.318 0.578
Cu3 0.682 0.682 0.422
Cu4 0.754 0.754 0.088
Pd1 0.156 0.156 0.617
Pd2 0.230 0.230 0.267
Pd3 0.770 0.770 0.733
Pd4 0.844 0.844 0.383


[2]
This record from Alexandria describes an optimized crystal structure of Pr3Fe5H12. The functional is PBE.

Summary:
DFT total energy = -395.0 eV per cell

Unit cell a=10.008 b=10.008 c=10.008 alpha=109.47 beta=109.47 gamma=109.47
Fractional coordinates of all 80 atoms:
Pr1 0.125 0.250 0.375
Pr2 0.125 0.375 0.750
Pr3 0.250 0.375 0.125
Pr4 0.250 0.875 0.625
Pr5 0.375 0.125 0.250
Pr6 0.375 0.750 0.125
Pr7 0.625 0.250 0.875
Pr8 0.625 0.875 0.750
Pr9 0.750 0.125 0.375
Pr10 0.750 0.625 0.875
Pr11 0.875 0.625 0.250
Pr12 0.875 0.750 0.625
Fe1 0.000 0.000 0.000
Fe2 0.000 0.000 0.500
Fe3 0.000 0.500 0.000
Fe4 0.000 0.500 0.500
Fe5 0.125 0.750 0.875
Fe6 0.125 0.875 0.250
Fe7 0.250 0.125 0.875
Fe8 0.250 0.625 0.375
Fe9 0.375 0.250 0.625
Fe10 0.375 0.625 0.750
Fe11 0.500 0.000 0.000
Fe12 0.500 0.000 0.500
Fe13 0.500 0.500 0.000
Fe14 0.500 0.500 0.500
Fe15 0.625 0.375 0.250
Fe16 0.625 0.750 0.375
Fe17 0.750 0.375 0.625
Fe18 0.750 0.875 0.125
Fe19 0.875 0.125 0.750
Fe20 0.875 0.250 0.125
H1 0.009 0.181 0.096
H2 0.009 0.328 0.913
H3 0.085 0.681 0.672
H4 0.085 0.904 0.413
H5 0.087 0.596 0.415
H6 0.087 0.991 0.672
H7 0.096 0.009 0.181
H8 0.096 0.587 0.915
H9 0.172 0.181 0.585
H10 0.172 0.491 0.587
H11 0.181 0.096 0.009
H12 0.181 0.585 0.172
H13 0.319 0.328 0.915
H14 0.319 0.491 0.404
H15 0.328 0.913 0.009
H16 0.328 0.915 0.319
H17 0.404 0.319 0.491
H18 0.404 0.585 0.913
H19 0.413 0.085 0.904
H20 0.413 0.828 0.509
H21 0.415 0.087 0.596
H22 0.415 0.828 0.819
H23 0.491 0.404 0.319
H24 0.491 0.587 0.172
H25 0.509 0.413 0.828
H26 0.509 0.596 0.681
H27 0.585 0.172 0.181
H28 0.585 0.913 0.404
H29 0.587 0.172 0.491
H30 0.587 0.915 0.096
H31 0.596 0.415 0.087
H32 0.596 0.681 0.509
H33 0.672 0.085 0.681
H34 0.672 0.087 0.991
H35 0.681 0.509 0.596
H36 0.681 0.672 0.085
H37 0.819 0.415 0.828
H38 0.819 0.904 0.991
H39 0.828 0.509 0.413
H40 0.828 0.819 0.415
H41 0.904 0.413 0.085
H42 0.904 0.991 0.819
H43 0.913 0.009 0.328
H44 0.913 0.404 0.585
H45 0.915 0.096 0.587
H46 0.915 0.319 0.328
H47 0.991 0.672 0.087
H48 0.991 0.819 0.904


[3]
This record from Alexandria describes an optimized crystal structure of Ba5Sb2I2. The functional is PBE.

Summary:
ΔE_f (raw) = -1143 meV per atom

Unit cell a=10.034 b=10.034 c=9.575 alpha=90.00 beta=90.00 gamma=56.30
Fractional coordinates of all 18 atoms:
Ba1 0.000 0.000 0.000
Ba2 0.025 0.726 0.646
Ba3 0.226 0.525 0.146
Ba4 0.274 0.975 0.646
Ba5 0.475 0.774 0.146
Ba6 0.500 0.500 0.500
Ba7 0.525 0.226 0.854
Ba8 0.726 0.025 0.354
Ba9 0.774 0.475 0.854
Ba10 0.975 0.274 0.354
Sb1 0.155 0.845 0.345
Sb2 0.345 0.655 0.845
Sb3 0.655 0.345 0.155
Sb4 0.845 0.155 0.655
I1 0.199 0.199 0.000
I2 0.301 0.301 0.500
I3 0.699 0.699 0.500
I4 0.801 0.801 0.000


[4]
This record from Alexandria describes an optimized crystal structure of Ti2P2Os. The functional is PBE.

Summary:
ΔH_f (0 K) = -0.84 eV per atom

Unit cell a=5.957 b=5.957 c=3.962 alpha=90.00 beta=90.00 gamma=90.00
Fractional coordinates of all 10 atoms:
Ti1 0.160 0.340 0.000
Ti2 0.340 0.840 0.000
Ti3 0.660 0.160 0.000
Ti4 0.840 0.660 0.000
P1 0.134 0.634 0.500
P2 0.366 0.134 0.500
P3 0.634 0.866 0.500
P4 0.866 0.366 0.500
Os1 0.000 0.000 0.500
Os2 0.500 0.500 0.500


[5]
This record from Alexandria describes an optimized crystal structure of TcRuOF2. The functional is PBE.

Summary:
Relative energy among the computed polymorphs = 0.000 eV per atom
ΔE_f (raw) = -293 meV per atom

Unit cell a=4.265 b=4.265 c=3.773 alpha=90.00 beta=90.00 gamma=90.00
Fractional coordinates of all 5 atoms:
Tc1 0.000 0.000 0.000
Ru1 0.500 0.500 0.500
O1 0.000 0.000 0.500
F1 0.000 0.500 0.000
F2 0.500 0.000 0.000


[6]
This record from Alexandria describes an optimized crystal structure of YEr3Tm3. The functional is PBE.

Summary:
ΔH_f (0 K) = 0.00 eV per atom
Relative energy among the computed polymorphs = 0.000 eV per atom

Unit cell a=9.477 b=9.477 c=5.566 alpha=90.00 beta=90.00 gamma=120.00
Fractional coordinates of all 14 atoms:
Y1 0.333 0.667 0.250
Y2 0.667 0.333 0.750
Er1 0.046 0.237 0.250
Er2 0.191 0.954 0.250
Er3 0.237 0.191 0.750
Er4 0.763 0.809 0.250
Er5 0.809 0.046 0.750
Er6 0.954 0.763 0.750
Tm1 0.094 0.475 0.750
Tm2 0.381 0.906 0.750
Tm3 0.475 0.381 0.250
Tm4 0.525 0.619 0.750
Tm5 0.619 0.094 0.250
Tm6 0.906 0.525 0.250


[7]
This record from Alexandria describes an optimized crystal structure of La2Nd5Er3. The functional is PBE.

Summary:
ΔH_f (0 K) = 0.18 eV per atom
Relative energy among the computed polymorphs = 0.141 eV per atom

Unit cell a=9.598 b=9.598 c=9.736 alpha=108.94 beta=108.94 gamma=109.69
Fractional coordinates of all 20 atoms:
La1 0.022 0.269 0.053
La2 0.269 0.022 0.553
La3 0.731 0.978 0.447
La4 0.978 0.731 0.947
Nd1 0.151 0.385 0.776
Nd2 0.229 0.771 0.750
Nd3 0.268 0.732 0.250
Nd4 0.385 0.151 0.276
Nd5 0.468 0.532 0.250
Nd6 0.532 0.468 0.750
Nd7 0.615 0.849 0.724
Nd8 0.732 0.268 0.750
Nd9 0.771 0.229 0.250
Nd10 0.849 0.615 0.224
Er1 0.023 0.977 0.750
Er2 0.221 0.463 0.454
Er3 0.463 0.221 0.954
Er4 0.537 0.779 0.046
Er5 0.779 0.537 0.546
Er6 0.977 0.023 0.250


[8]
This record from Alexandria describes an optimized crystal structure of Sc3TcBr. The functional is PBE.

Summary:
Relative energy among the computed polymorphs = 0.000 eV per atom
ΔE_f (raw) = 49 meV per atom

Unit cell a=5.092 b=5.092 c=5.092 alpha=90.00 beta=90.00 gamma=90.00
Fractional coordinates of all 5 atoms:
Sc1 0.000 0.000 0.500
Sc2 0.000 0.500 0.000
Sc3 0.500 0.000 0.000
Tc1 0.000 0.000 0.000
Br1 0.500 0.500 0.500


[9]
This record from Alexandria describes an optimized crystal structure of Tm9Sc4Al11. The functional is PBE.

Summary:
ΔH_f (0 K) = -0.33 eV per atom

Unit cell a=12.957 b=12.957 c=3.242 alpha=90.00 beta=90.00 gamma=101.75
Fractional coordinates of all 24 atoms:
Tm1 0.000 0.000 0.000
Tm2 0.131 0.646 0.000
Tm3 0.289 0.460 0.000
Tm4 0.354 0.869 0.000
Tm5 0.460 0.289 0.000
Tm6 0.540 0.711 0.000
Tm7 0.646 0.131 0.000
Tm8 0.711 0.540 0.000
Tm9 0.869 0.354 0.000
Sc1 0.068 0.242 0.000
Sc2 0.242 0.068 0.000
Sc3 0.758 0.932 0.000
Sc4 0.932 0.758 0.000
Al1 0.074 0.436 0.500
Al2 0.134 0.866 0.500
Al3 0.256 0.256 0.500
Al4 0.339 0.661 0.500
Al5 0.436 0.074 0.500
Al6 0.500 0.500 0.500
Al7 0.564 0.926 0.500
Al8 0.661 0.339 0.500
Al9 0.744 0.744 0.500
Al10 0.866 0.134 0.500
Al11 0.926 0.564 0.500


[10]
This record from Alexandria describes an optimized crystal structure of TiPN3. The functional is PBE.

Summary:
ΔE_f (raw) = -748 meV per atom

Unit cell a=2.821 b=7.937 c=5.139 alpha=90.00 beta=90.00 gamma=90.00
Fractional coordinates of all 10 atoms:
Ti1 0.000 0.079 0.000
Ti2 0.500 0.921 0.500
P1 0.000 0.708 0.000
P2 0.500 0.292 0.500
N1 0.000 0.393 0.523
N2 0.000 0.832 0.734
N3 0.000 0.869 0.216
N4 0.500 0.131 0.716
N5 0.500 0.168 0.234
N6 0.500 0.607 0.023


[11]
This record from Alexandria describes an optimized crystal structure of TbScBeIn. The functional is PBE.

Summary:
ΔH_f (0 K) = -0.12 eV per atom

Unit cell a=4.978 b=4.978 c=4.978 alpha=60.00 beta=60.00 gamma=60.00
Fractional coordinates of all 4 atoms:
Tb1 0.000 0.000 0.000
Sc1 0.500 0.500 0.500
Be1 0.250 0.250 0.250
In1 0.750 0.750 0.750


[12]
This record from Alexandria describes an optimized crystal structure of K2YOs. The functional is PBE.

Summary:
ΔH_f (0 K) = 1.25 eV per atom
Relative energy among the computed polymorphs = 0.745 eV per atom

Unit cell a=12.977 b=12.977 c=12.977 alpha=13.86 beta=13.86 gamma=13.86
Fractional coordinates of all 4 atoms:
K1 0.238 0.238 0.238
K2 0.762 0.762 0.762
Y1 0.000 0.000 0.000
Os1 0.500 0.500 0.500